{
  "formula": "LaPr2Si4Ir2Pd2",
  "functional": "PBE",
  "state": "optimized geometry",
  "final_energy_ev_per_atom": -6.84,
  "total_magnetization_mub_per_cell": 0.0,
  "lattice_angstrom": [[-2.070, 2.112, 12.467], [2.070, -2.112, 12.467], [2.070, 2.112, -12.467]],
  "species": ["La", "Pr", "Pr", "Si", "Si", "Si", "Si", "Ir", "Ir", "Pd", "Pd"],
  "frac_coords": [[0.000, 0.000, 0.000], [0.353, 0.853, 0.500], [0.647, 0.147, 0.500], [0.199, 0.699, 0.500], [0.452, 0.452, 0.000], [0.548, 0.548, 0.000], [0.801, 0.301, 0.500], [0.250, 0.250, 0.000], [0.750, 0.750, 0.000], [0.099, 0.599, 0.500], [0.901, 0.401, 0.500]]
}